Density functional theory data (SCAN) for a crystal of La2HgBi2 relaxed with PBEsol.

Cell: 6.276 6.383 6.276 Å, 60.55 90.00 119.45°
Last column: magnetic moment on the atom in μB.
Fractional positions:
La: 0.750 0.500 0.750  0.17
La: 0.250 0.500 0.250  0.17
Bi: 0.677 0.354 0.323  -0.01
Bi: 0.323 0.646 0.677  -0.01
Hg: 0.000 0.000 0.000  0.06

## Properties
Formation energy: -11.5 kcal/mol of atoms
Energy above the most stable polymorph in this dataset: 385.2 meV per atom
Uncorrected energy: -314.04 eV/cell
Volume: 181 Å³/cell
Density: 8.236 g/cm3